[1]
VASP calculation (GGA-PBE) on an optimized crystal structure of Pm3Y2Tm.

Formation enthalpy at 0 K: 0.01 eV per atom
Crystal system: triclinic
Total magnetic moment: 0.0 μB/f.u.
Theoretical density: 6.55 g/cm3

Cell: 7.2429 10.2964 7.2508 Å, 80.06 119.87 121.68°
Element x y z (fractional)
Y1 0.6957 0.3336 0.1391
Y2 0.6938 0.3306 0.6385
Y3 0.3043 0.6664 0.8609
Y4 0.3062 0.6694 0.3615
Pm1 0.8042 0.6660 0.3609
Pm2 0.7488 0.9993 0.2503
Pm3 0.8069 0.6686 0.8610
Pm4 0.2512 0.0007 0.7497
Pm5 0.1958 0.3340 0.6391
Pm6 0.1931 0.3314 0.1390
Tm1 0.7488 0.9992 0.7495
Tm2 0.2512 0.0008 0.2505

---

[2]
VASP calculation (GGA-PBE) on an optimized crystal structure of Tb2SnGe3Pd4.

Formation enthalpy at 0 K: -0.76 eV per atom
Crystal system: tetragonal
Total magnetic moment: 0.0 μB/f.u.
Theoretical density: 9.16 g/cm3

Cell: 4.2915 4.2915 10.6360 Å, 90.00 90.00 90.00°
Element x y z (fractional)
Pd1 0.5000 0.5000 0.0000
Pd2 0.5000 0.0000 0.6474
Pd3 0.0000 0.5000 0.3526
Pd4 0.0000 0.0000 0.0000
Ge1 0.0000 0.0000 0.5000
Ge2 0.0000 0.5000 0.1252
Ge3 0.5000 0.0000 0.8748
Sn1 0.5000 0.5000 0.5000
Tb1 0.0000 0.5000 0.7664
Tb2 0.5000 0.0000 0.2336

---

[3]
VASP calculation (GGA-PBE) on an optimized crystal structure of Ba2USe2N2.

Crystal system: tetragonal
Formation energy without anion corrections: -1.53 eV per atom
Total magnetic moment: 0.1 μB/f.u.
Theoretical density: 6.91 g/cm3

Cell: 4.4382 4.4382 9.0819 Å, 104.14 104.14 90.00°
Element x y z (fractional)
N1 0.0000 0.5000 0.0000
N2 0.5000 0.0000 0.0000
Ba1 0.3699 0.3699 0.7397
Ba2 0.6301 0.6301 0.2603
U1 0.0000 0.0000 0.0000
Se1 0.1674 0.1674 0.3348
Se2 0.8326 0.8326 0.6652

---

[4]
VASP calculation (GGA-PBE) on an optimized crystal structure of PmHo2In2Ag2.

Formation enthalpy at 0 K: -0.29 eV per atom
Crystal system: trigonal
Total magnetic moment: 0.0 μB/f.u.
Theoretical density: 8.35 g/cm3

Cell: 4.8723 4.8723 9.3323 Å, 74.87 74.87 60.00°
Element x y z (fractional)
Ho1 0.8729 0.8729 0.3813
Ho2 0.1271 0.1271 0.6187
Pm1 0.0000 0.0000 0.0000
Ag1 0.4044 0.4044 0.7868
Ag2 0.5956 0.5956 0.2132
In1 0.7420 0.7420 0.7739
In2 0.2580 0.2580 0.2261

---

[5]
VASP calculation (GGA-PBE) on an optimized crystal structure of MnHg2Sb.

Crystal system: monoclinic
Formation energy without anion corrections: 0.19 eV per atom
Total magnetic moment: 3.6 μB/f.u.
Theoretical density: 9.98 g/cm3

Cell: 3.3987 4.0577 7.2626 Å, 73.76 90.00 90.00°
Element x y z (fractional)
Mn1 0.0000 0.2777 0.5742
Hg1 0.0000 0.0603 0.0012
Hg2 0.5000 0.4364 0.2470
Sb1 0.5000 0.7256 0.6776

---

[6]
VASP calculation (GGA-PBE) on an optimized crystal structure of LiSO3.

Crystal system: cubic
Formation energy without anion corrections: -0.55 eV per atom
Total magnetic moment: 0.0 μB/f.u.
Theoretical density: 3.34 g/cm3

Cell: 3.5088 3.5088 3.5088 Å, 90.00 90.00 90.00°
Element x y z (fractional)
Li1 0.5000 0.5000 0.5000
S1 0.0000 0.0000 0.0000
O1 0.0000 0.5000 0.0000
O2 0.5000 0.0000 0.0000
O3 0.0000 0.0000 0.5000

---

[7]
VASP calculation (GGA-PBE) on an optimized crystal structure of K2ZnCd3.

Formation enthalpy at 0 K: -0.04 eV per atom
Crystal system: monoclinic
Total magnetic moment: 0.0 μB/f.u.
Theoretical density: 4.55 g/cm3

Cell: 6.2928 6.2928 6.2437 Å, 90.94 119.98 119.21°
Element x y z (fractional)
K1 0.7490 0.3741 0.1231
K2 0.2510 0.6259 0.8769
Cd1 0.5000 0.0000 0.5000
Cd2 0.5000 0.5000 0.5000
Cd3 0.0000 0.0000 0.5000
Zn1 0.0000 0.0000 0.0000

---

[8]
VASP calculation (GGA-PBE) on an optimized crystal structure of BeCrIn2.

Formation enthalpy at 0 K: 0.56 eV per atom
Crystal system: trigonal
Total magnetic moment: 3.9 μB/f.u.
Theoretical density: 6.37 g/cm3

Cell: 8.7782 8.7782 8.7782 Å, 20.95 20.95 20.95°
Element x y z (fractional)
Cr1 0.7500 0.7500 0.7500
In1 0.9946 0.9946 0.9946
In2 0.5054 0.5054 0.5054
Be1 0.2500 0.2500 0.2500